Arrangement a

Entry from the Alexandria database: crystalline Sm5Bi2Te2 at its relaxed geometry (GGA-PBE).

Values from the calculation:
Size of the total moment ... 0.00 μB per formula unit

a b c (Å): 15.859 8.326 8.354
angles (deg): 90.00 90.00 90.00
Space group Cmce (No. 64)
Inequivalent atoms, fractional coordinates:
Sm: 0.000 0.000 0.000 [4 per cell]
Sm: 0.139 0.159 0.343 [16 per cell]
Bi: 0.000 0.144 0.643 [8 per cell]
Te: 0.198 0.000 0.000 [8 per cell]

Arrangement b

Entry from the Alexandria database: crystalline Sm5Bi2Te2 at its relaxed geometry (GGA-PBE).

Values from the calculation:
Size of the total moment ... 0.00 μB per formula unit

a b c (Å): 15.772 8.347 8.417
angles (deg): 90.00 90.00 90.00
Space group Cmce (No. 64)
Inequivalent atoms, fractional coordinates:
Sm: 0.000 0.000 0.000 [4 per cell]
Sm: 0.134 0.156 0.343 [16 per cell]
Bi: 0.200 0.000 0.000 [8 per cell]
Te: 0.000 0.144 0.644 [8 per cell]

Bottom line: arrangement a, by a margin of 15 meV per atom.

Arrangement a

Entry from the Alexandria database: crystalline SmBiTe3 at its relaxed geometry (GGA-PBE).

Values from the calculation:
Size of the total moment ... 0.00 μB per formula unit

a b c (Å): 4.447 22.480 7.774
angles (deg): 90.00 90.00 90.00
Space group Cmc2_1 (No. 36)
Inequivalent atoms, fractional coordinates:
Sm: 0.000 0.165 0.000 [4 per cell]
Bi: 0.000 0.350 0.003 [4 per cell]
Te: 0.000 0.081 0.330 [4 per cell]
Te: 0.000 0.251 0.672 [4 per cell]
Te: 0.000 0.414 0.341 [4 per cell]

Arrangement b

Entry from the Alexandria database: crystalline SmBiTe3 at its relaxed geometry (GGA-PBE).

Values from the calculation:
Size of the total moment ... 0.00 μB per formula unit

a b c (Å): 4.4511 4.4511 32.0577
angles (deg): 90.00 90.00 120.00
Space group R3m (No. 160, hexagonal axes)
Inequivalent atoms, fractional coordinates:
Sm: 0.0000 0.0000 0.0000 [3 per cell]
Bi: 0.0000 0.0000 0.7961 [3 per cell]
Te: 0.0000 0.0000 0.1818 [3 per cell]
Te: 0.0000 0.0000 0.3957 [3 per cell]
Te: 0.0000 0.0000 0.6150 [3 per cell]

Bottom line: arrangement b, by a margin of 12 meV per atom.

Arrangement a

Entry from the Alexandria database: crystalline SmThBiTe at its relaxed geometry (GGA-PBE).

Values from the calculation:
Size of the total moment ... 0.00 μB per formula unit

a b c (Å): 4.510 4.510 6.406
angles (deg): 90.00 90.00 90.00
Space group P4/mmm (No. 123)
Inequivalent atoms, fractional coordinates:
Sm: 0.000 0.000 0.000 [1 per cell]
Th: 0.500 0.500 0.500 [1 per cell]
Bi: 0.500 0.500 0.000 [1 per cell]
Te: 0.000 0.000 0.500 [1 per cell]

Arrangement b

Entry from the Alexandria database: crystalline SmThBiTe at its relaxed geometry (GGA-PBE).

Values from the calculation:
Size of the total moment ... 0.00 μB per formula unit

a b c (Å): 7.785 7.785 7.785
angles (deg): 90.00 90.00 90.00
Space group F-43m (No. 216)
Inequivalent atoms, fractional coordinates:
Sm: 0.000 0.000 0.000 [4 per cell]
Th: 0.000 0.000 0.500 [4 per cell]
Bi: 0.250 0.250 0.750 [4 per cell]
Te: 0.250 0.250 0.250 [4 per cell]

Bottom line: arrangement a, by a margin of 79 meV per atom.

Arrangement a

Entry from the Alexandria database: crystalline SmTiBi2 at its relaxed geometry (GGA-PBE).

Values from the calculation:
Size of the total moment ... 1.41 μB per formula unit

a b c (Å): 3.624 3.624 7.994
angles (deg): 90.00 90.00 90.00
Space group P4/mmm (No. 123)
Inequivalent atoms, fractional coordinates:
Sm: 0.000 0.000 0.000 [1 per cell]
Ti: 0.000 0.000 0.500 [1 per cell]
Bi: 0.500 0.500 0.282 [2 per cell]

Arrangement b

Entry from the Alexandria database: crystalline SmTiBi2 at its relaxed geometry (GGA-PBE).

Values from the calculation:
Size of the total moment ... 0.00 μB per formula unit

a b c (Å): 3.4706 3.4706 32.9063
angles (deg): 90.00 90.00 120.00
Space group R-3m (No. 166, hexagonal axes)
Inequivalent atoms, fractional coordinates:
Sm: 0.0000 0.0000 0.0000 [3 per cell]
Ti: 0.0000 0.0000 0.5000 [3 per cell]
Bi: 0.0000 0.0000 0.0996 [6 per cell]

Bottom line: arrangement a, by a margin of 312 meV per atom.

Arrangement a

Entry from the Alexandria database: crystalline Sm2TmBi at its relaxed geometry (GGA-PBE).

Values from the calculation:
Size of the total moment ... 0.00 μB per formula unit

a b c (Å): 3.5532 3.5532 36.6188
angles (deg): 90.00 90.00 120.00
Space group R-3m (No. 166, hexagonal axes)
Inequivalent atoms, fractional coordinates:
Sm: 0.0000 0.0000 0.0880 [6 per cell]
Tm: 0.0000 0.0000 0.5000 [3 per cell]
Bi: 0.0000 0.0000 0.0000 [3 per cell]

Arrangement b

Entry from the Alexandria database: crystalline Sm2TmBi at its relaxed geometry (GGA-PBE).

Values from the calculation:
Size of the total moment ... 0.00 μB per formula unit

a b c (Å): 4.669 4.652 11.704
angles (deg): 90.00 101.51 90.00
Space group P2_1/m (No. 11)
Inequivalent atoms, fractional coordinates:
Sm: 0.062 0.250 0.123 [2 per cell]
Sm: 0.435 0.250 0.870 [2 per cell]
Tm: 0.310 0.750 0.620 [2 per cell]
Bi: 0.174 0.750 0.348 [2 per cell]

Arrangement c

Entry from the Alexandria database: crystalline Sm2TmBi at its relaxed geometry (GGA-PBE).

Values from the calculation:
Size of the total moment ... 0.75 μB per formula unit

a b c (Å): 4.1091 4.1091 28.5682
angles (deg): 90.00 90.00 120.00
Space group R3m (No. 160, hexagonal axes)
Inequivalent atoms, fractional coordinates:
Sm: 0.0000 0.0000 0.0000 [3 per cell]
Sm: 0.0000 0.0000 0.1904 [3 per cell]
Tm: 0.0000 0.0000 0.4285 [3 per cell]
Bi: 0.0000 0.0000 0.5949 [3 per cell]

Arrangement d

Entry from the Alexandria database: crystalline Sm2TmBi at its relaxed geometry (GGA-PBE).

Values from the calculation:
Size of the total moment ... 0.00 μB per formula unit

a b c (Å): 4.895 4.895 4.930
angles (deg): 90.00 90.00 90.00
Space group P4/mmm (No. 123)
Inequivalent atoms, fractional coordinates:
Sm: 0.000 0.500 0.000 [2 per cell]
Tm: 0.000 0.000 0.500 [1 per cell]
Bi: 0.500 0.500 0.500 [1 per cell]

Bottom line: arrangement b, by a margin of 8 meV per atom.

Arrangement a

Entry from the Alexandria database: crystalline Sm3TmBi2 at its relaxed geometry (GGA-PBE).

Values from the calculation:
Size of the total moment ... 0.00 μB per formula unit

a b c (Å): 4.598 4.598 8.816
angles (deg): 90.00 90.00 90.00
Space group P-4m2 (No. 115)
Inequivalent atoms, fractional coordinates:
Sm: 0.000 0.000 0.000 [1 per cell]
Sm: 0.000 0.500 0.651 [2 per cell]
Tm: 0.500 0.500 0.000 [1 per cell]
Bi: 0.000 0.500 0.280 [2 per cell]

Arrangement b

Entry from the Alexandria database: crystalline Sm3TmBi2 at its relaxed geometry (GGA-PBE).

Values from the calculation:
Size of the total moment ... 0.00 μB per formula unit

a b c (Å): 17.201 4.413 10.768
angles (deg): 90.00 101.50 90.00
Space group C2/m (No. 12)
Inequivalent atoms, fractional coordinates:
Sm: 0.018 0.000 0.157 [4 per cell]
Sm: 0.158 0.500 0.001 [4 per cell]
Sm: 0.160 0.500 0.451 [4 per cell]
Tm: 0.163 0.000 0.723 [4 per cell]
Bi: 0.036 0.500 0.667 [4 per cell]
Bi: 0.208 0.000 0.247 [4 per cell]

Bottom line: arrangement a, by a margin of 170 meV per atom.

Arrangement a

Entry from the Alexandria database: crystalline SmYBi2 at its relaxed geometry (GGA-PBE).

Values from the calculation:
Size of the total moment ... 0.00 μB per formula unit

a b c (Å): 7.830 4.527 7.827
angles (deg): 90.00 109.57 90.00
Space group C2/m (No. 12)
Inequivalent atoms, fractional coordinates:
Sm: 0.000 0.000 0.000 [2 per cell]
Y: 0.000 0.500 0.500 [2 per cell]
Bi: 0.248 0.000 0.745 [4 per cell]

Arrangement b

Entry from the Alexandria database: crystalline SmYBi2 at its relaxed geometry (GGA-PBE).

Values from the calculation:
Size of the total moment ... 0.00 μB per formula unit

a b c (Å): 4.5075 4.5075 14.9698
angles (deg): 90.00 90.00 120.00
Space group P6_3/mmc (No. 194)
Inequivalent atoms, fractional coordinates:
Sm: 0.0000 0.0000 0.0000 [2 per cell]
Y: 0.3333 0.6667 0.2500 [2 per cell]
Bi: 0.3333 0.6667 0.6248 [4 per cell]

Bottom line: arrangement a, by a margin of 72 meV per atom.

Arrangement a

Entry from the Alexandria database: crystalline SmY2Bi at its relaxed geometry (GGA-PBE).

Values from the calculation:
Size of the total moment ... 0.00 μB per formula unit

a b c (Å): 4.939 4.939 4.836
angles (deg): 90.00 90.00 90.00
Space group P4/mmm (No. 123)
Inequivalent atoms, fractional coordinates:
Sm: 0.000 0.000 0.000 [1 per cell]
Y: 0.000 0.500 0.500 [2 per cell]
Bi: 0.500 0.500 0.000 [1 per cell]

Arrangement b

Entry from the Alexandria database: crystalline SmY2Bi at its relaxed geometry (GGA-PBE).

Values from the calculation:
Size of the total moment ... 0.66 μB per formula unit

a b c (Å): 4.0684 4.0684 28.8201
angles (deg): 90.00 90.00 120.00
Space group R3m (No. 160, hexagonal axes)
Inequivalent atoms, fractional coordinates:
Sm: 0.0000 0.0000 0.0000 [3 per cell]
Y: 0.0000 0.0000 0.5688 [3 per cell]
Y: 0.0000 0.0000 0.7635 [3 per cell]
Bi: 0.0000 0.0000 0.1658 [3 per cell]

Bottom line: arrangement a, by a margin of 161 meV per atom.

Arrangement a

Entry from the Alexandria database: crystalline SmY3Bi3 at its relaxed geometry (GGA-PBE).

Values from the calculation:
Size of the total moment ... 0.00 μB per formula unit

a b c (Å): 9.2027 9.2027 18.8881
angles (deg): 90.00 90.00 120.00
Space group R-3 (No. 148, hexagonal axes)
Inequivalent atoms, fractional coordinates:
Sm: 0.0000 0.0000 0.1664 [6 per cell]
Y: 0.0010 0.2607 0.5823 [18 per cell]
Bi: 0.0019 0.3870 0.4156 [18 per cell]

Arrangement b

Entry from the Alexandria database: crystalline SmY3Bi3 at its relaxed geometry (GGA-PBE).

Values from the calculation:
Size of the total moment ... 0.00 μB per formula unit

a b c (Å): 9.452 9.452 9.452
angles (deg): 90.00 90.00 90.00
Space group P2_13 (No. 198)
Inequivalent atoms, fractional coordinates:
Sm: 0.071 0.429 0.571 [4 per cell]
Y: 0.076 0.576 0.924 [4 per cell]
Y: 0.178 0.178 0.178 [4 per cell]
Y: 0.178 0.822 0.322 [4 per cell]
Bi: 0.001 0.254 0.877 [12 per cell]

Bottom line: arrangement b, by a margin of 80 meV per atom.

Arrangement a

Entry from the Alexandria database: crystalline SmZrBi2 at its relaxed geometry (GGA-PBE).

Values from the calculation:
Size of the total moment ... 0.14 μB per formula unit

a b c (Å): 3.702 3.702 7.989
angles (deg): 90.00 90.00 90.00
Space group P4/mmm (No. 123)
Inequivalent atoms, fractional coordinates:
Sm: 0.000 0.000 0.000 [1 per cell]
Zr: 0.000 0.000 0.500 [1 per cell]
Bi: 0.500 0.500 0.273 [2 per cell]

Arrangement b

Entry from the Alexandria database: crystalline SmZrBi2 at its relaxed geometry (GGA-PBE).

Values from the calculation:
Size of the total moment ... 0.40 μB per formula unit

a b c (Å): 4.2902 4.2902 22.8882
angles (deg): 90.00 90.00 120.00
Space group R3m (No. 160, hexagonal axes)
Inequivalent atoms, fractional coordinates:
Sm: 0.0000 0.0000 0.0000 [3 per cell]
Zr: 0.0000 0.0000 0.1715 [3 per cell]
Bi: 0.0000 0.0000 0.4246 [3 per cell]
Bi: 0.0000 0.0000 0.5815 [3 per cell]

Bottom line: arrangement b, by a margin of 88 meV per atom.

Arrangement a

Entry from the Alexandria database: crystalline Sn4Bi at its relaxed geometry (GGA-PBE).

Values from the calculation:
Size of the total moment ... 0.00 μB per formula unit

a b c (Å): 5.846 5.846 5.846
angles (deg): 90.00 90.00 90.00
Space group Pm-3m (No. 221)
Inequivalent atoms, fractional coordinates:
Sn: 0.000 0.000 0.000 [1 per cell]
Sn: 0.000 0.500 0.500 [3 per cell]
Bi: 0.500 0.500 0.500 [1 per cell]

Arrangement b

Entry from the Alexandria database: crystalline Sn4Bi at its relaxed geometry (GGA-PBE).

Values from the calculation:
Size of the total moment ... 0.00 μB per formula unit

a b c (Å): 6.580 7.133 7.140
angles (deg): 90.00 116.98 90.00
Space group P2_1/c (No. 14)
Inequivalent atoms, fractional coordinates:
Sn: 0.130 0.206 0.060 [4 per cell]
Sn: 0.283 0.597 0.320 [4 per cell]
Bi: 0.500 0.000 0.500 [2 per cell]

Bottom line: arrangement b, by a margin of 659 meV per atom.